Density functional theory data (PBE-GGA) for a relaxed structure of La2HoRh9.

abc: 9.4799 9.4799 9.4799
angles: 32.42 32.42 32.42
Positions (direct):
La 0.1384 0.1384 0.1384
La 0.8616 0.8616 0.8616
Ho 0.0000 0.0000 0.0000
Rh 0.0811 0.5797 0.5797
Rh 0.3327 0.3327 0.3327
Rh 0.4203 0.4203 0.9189
Rh 0.4203 0.9189 0.4203
Rh 0.5000 0.5000 0.5000
Rh 0.5797 0.0811 0.5797
Rh 0.5797 0.5797 0.0811
Rh 0.6673 0.6673 0.6673
Rh 0.9189 0.4203 0.4203

Values from the calculation:
Theoretical density   10.4 Mg/m³
Size of the total moment   0.00 μB/f.u.
SG   R-3m, No. 166
VASP energy   -0.2659 hartree per atom
Energy of formation from the pure elements   -0.520 eV/atom



Density functional theory data (PBE-GGA) for a relaxed structure of LaHoRh.

abc: 6.9556 6.9556 6.9556
angles: 150.67 150.67 41.95
Positions (direct):
La 0.0000 0.0000 0.0000
Ho 0.2577 0.2577 0.0000
Rh 0.6426 0.6426 0.0000

Values from the calculation:
Theoretical density   8.4 Mg/m³
Size of the total moment   0.00 μB/f.u.
SG   I4mm, No. 107
VASP energy   -0.2251 hartree per atom
Energy of formation from the pure elements   -0.507 eV/atom